Record 1
{
  "formula": "SmNi3S6",
  "functional": "GGA-PBE",
  "state": "relaxed",
  "lattice": [[-1.664, -8.024, 3.977], [3.279, -1.116, -0.879], [4.419, 7.535, 6.920]],
  "species": ["S", "S", "S", "Ni", "S", "S", "Ni", "Ni", "Ni", "S", "S", "S", "S", "S", "Sm", "Sm", "S", "S", "Ni", "Ni"],
  "fractional_positions": [[0.430, 0.250, 0.089], [0.942, 0.750, 0.385], [0.665, 0.250, 0.483], [0.864, 0.750, 0.557], [0.570, 0.750, 0.911], [0.058, 0.250, 0.615], [0.325, 0.750, 0.925], [0.675, 0.250, 0.075], [0.061, 0.750, 0.142], [0.269, 0.250, 0.780], [0.731, 0.750, 0.220], [0.191, 0.250, 0.264], [0.809, 0.750, 0.736], [0.900, 0.250, 0.051], [0.545, 0.250, 0.699], [0.455, 0.750, 0.301], [0.100, 0.750, 0.949], [0.335, 0.750, 0.517], [0.136, 0.250, 0.443], [0.939, 0.250, 0.858]],
  "sg": "P2_1/m",
  "e_tot_ev_per_atom": -5.244
}


Record 2
{
  "formula": "SmTlNiS3",
  "functional": "GGA-PBE",
  "state": "relaxed",
  "lattice": [[7.037, -1.967, 0.000], [7.037, 1.967, 0.000], [0.000, 0.000, 10.591]],
  "species": ["Tl", "Ni", "S", "S", "S", "Sm", "S", "Ni", "S", "Sm", "S", "Tl"],
  "fractional_positions": [[0.252, 0.252, 0.750], [0.526, 0.526, 0.750], [0.375, 0.375, 0.082], [0.625, 0.625, 0.582], [0.625, 0.625, 0.918], [0.000, 0.000, 0.500], [0.375, 0.375, 0.418], [0.474, 0.474, 0.250], [0.060, 0.060, 0.250], [0.000, 0.000, 0.000], [0.940, 0.940, 0.750], [0.748, 0.748, 0.250]],
  "sg": "Cmcm",
  "e_above_lowest_polymorph_ev_per_atom": 0.0128,
  "e_tot_ev_per_atom": -5.153
}


Record 3
{
  "formula": "SmTlNiS3",
  "functional": "GGA-PBE",
  "state": "relaxed",
  "lattice": [[11.118, 0.000, 0.000], [0.000, 4.113, 0.000], [0.000, 0.000, 11.794]],
  "species": ["Tl", "S", "Sm", "S", "S", "S", "Tl", "S", "S", "Ni", "S", "Ni", "Tl", "Sm", "S", "Ni", "S", "Sm", "Ni", "Tl", "S", "Sm", "S", "S"],
  "fractional_positions": [[0.832, 0.500, 0.990], [0.952, 0.000, 0.175], [0.487, 0.500, 0.168], [0.731, 0.500, 0.270], [0.048, 0.500, 0.825], [0.887, 0.500, 0.555], [0.668, 0.000, 0.490], [0.231, 0.500, 0.230], [0.269, 0.000, 0.730], [0.752, 0.000, 0.199], [0.452, 0.000, 0.325], [0.252, 0.000, 0.301], [0.332, 0.500, 0.510], [0.513, 0.000, 0.832], [0.113, 0.000, 0.445], [0.248, 0.500, 0.801], [0.548, 0.500, 0.675], [0.987, 0.500, 0.332], [0.748, 0.500, 0.699], [0.168, 0.000, 0.010], [0.387, 0.500, 0.945], [0.013, 0.000, 0.668], [0.613, 0.000, 0.055], [0.769, 0.000, 0.770]],
  "sg": "Pnma",
  "e_above_lowest_polymorph_ev_per_atom": 0.0000,
  "e_tot_ev_per_atom": -5.166
}


Record 4
{
  "formula": "NiSn10S10",
  "functional": "GGA-PBE",
  "state": "relaxed",
  "lattice": [[-1.596, 7.509, -3.769], [-5.488, -5.258, -8.152], [-9.689, 0.917, 5.931]],
  "species": ["S", "Sn", "S", "S", "S", "S", "Sn", "S", "Sn", "Sn", "Sn", "Sn", "Sn", "S", "S", "Sn", "S", "Sn", "Sn", "Sn", "Sn", "Sn", "Sn", "S", "Sn", "Sn", "S", "S", "S", "S", "S", "Sn", "Sn", "S", "S", "Ni", "S", "S", "Ni", "Sn", "Sn", "S"],
  "fractional_positions": [[0.000, 0.013, 0.315], [0.730, 0.000, 0.000], [0.696, 0.318, 0.686], [0.304, 0.682, 0.314], [0.000, 0.487, 0.815], [0.500, 0.634, 0.597], [0.500, 0.855, 0.323], [0.696, 0.182, 0.186], [0.270, 0.000, 0.000], [0.757, 0.129, 0.407], [0.243, 0.629, 0.093], [0.243, 0.371, 0.907], [0.270, 0.500, 0.500], [0.000, 0.211, 0.947], [0.304, 0.318, 0.686], [0.243, 0.129, 0.407], [0.304, 0.182, 0.186], [0.500, 0.355, 0.177], [0.757, 0.371, 0.907], [0.757, 0.871, 0.593], [0.730, 0.500, 0.500], [0.000, 0.736, 0.817], [0.000, 0.264, 0.183], [0.000, 0.289, 0.447], [0.243, 0.871, 0.593], [0.000, 0.764, 0.317], [0.000, 0.513, 0.185], [0.500, 0.366, 0.403], [0.500, 0.134, 0.903], [0.304, 0.818, 0.814], [0.696, 0.682, 0.314], [0.000, 0.236, 0.683], [0.500, 0.645, 0.823], [0.000, 0.711, 0.553], [0.000, 0.789, 0.053], [0.500, 0.000, 0.500], [0.500, 0.866, 0.097], [0.696, 0.818, 0.814], [0.500, 0.500, 0.000], [0.757, 0.629, 0.093], [0.500, 0.145, 0.677], [0.000, 0.987, 0.685]],
  "sg": "Pbam",
  "e_tot_ev_per_atom": -4.431
}